[1]
A relaxed structure of Ti2GaC. Source: the Alexandria database, functional PBE.

The structure in POSCAR format:
```
Ti2GaC
1.0
-2.794 -1.249 0.351
1.596 -0.499 -2.587
5.587 -10.934 5.557
Ti Ga C
4 2 2
Cartesian
0.605 -1.674 -1.137
1.936 -7.391 2.621
3.784 -11.008 4.459
2.454 -5.291 0.701
4.323 -8.950 2.561
0.066 -3.732 0.761
2.794 -5.467 2.779
0.000 0.000 0.000
```

Properties
calculated total energy = -31.1 eV per formula unit
energy above the most stable polymorph in this dataset = 0.0 kJ per mole of atoms

[2]
A relaxed structure of Dy2ThSc3. Source: the Alexandria database, functional PBE.

The structure in POSCAR format:
```
Dy2ThSc3
1.0
3.444 0.000 0.000
-1.722 8.865 0.000
0.000 0.000 11.077
Dy Th Sc
4 2 6
Cartesian
0.000 0.000 0.000
0.000 0.000 5.538
1.722 0.994 2.769
0.000 7.870 8.307
0.000 3.917 2.769
1.722 4.947 8.307
1.722 2.999 11.027
0.000 1.990 8.307
1.722 2.999 5.588
1.722 6.875 2.769
0.000 5.865 0.050
0.000 5.865 5.488
```

Properties
calculated total energy = -35.2 eV per formula unit
energy above the most stable polymorph in this dataset = 0.0 kJ per mole of atoms

[3]
A relaxed structure of Ag3BiAu4. Source: the Alexandria database, functional PBE.

The structure in POSCAR format:
```
Ag3BiAu4
1.0
-0.100 4.876 -1.880
-6.165 -0.383 -0.663
-1.169 3.409 8.902
Au Bi Ag
8 2 6
Cartesian
-4.752 2.146 -1.446
-5.337 3.850 3.005
-1.514 2.347 -1.097
-2.098 4.051 3.353
-5.625 3.067 5.857
-5.108 4.630 0.147
-1.810 4.835 0.501
-2.327 3.272 6.212
-3.083 -0.191 -0.332
-3.667 1.513 4.119
0.000 0.000 0.000
-0.585 1.704 4.451
-0.944 5.813 5.421
-0.326 2.471 1.601
-4.022 5.411 5.170
-3.413 2.490 1.188
```

Properties
calculated total energy = -25.6 eV per formula unit

Number 1 is which compound? Ti2GaC

What did the second record say?
A relaxed structure of Dy2ThSc3. Source: the Alexandria database, functional PBE.

The structure in POSCAR format:
```
Dy2ThSc3
1.0
3.444 0.000 0.000
-1.722 8.865 0.000
0.000 0.000 11.077
Dy Th Sc
4 2 6
Cartesian
0.000 0.000 0.000
0.000 0.000 5.538
1.722 0.994 2.769
0.000 7.870 8.307
0.000 3.917 2.769
1.722 4.947 8.307
1.722 2.999 11.027
0.000 1.990 8.307
1.722 2.999 5.588
1.722 6.875 2.769
0.000 5.865 0.050
0.000 5.865 5.488
```

Properties
calculated total energy = -35.2 eV per formula unit
energy above the most stable polymorph in this dataset = 0.0 kJ per mole of atoms